[1]
TiCdRe3 after structural relaxation. Source: Alexandria, functional GGA-PBE.

Total DFT energy (no corrections) ... -6.334 eV/atom
M_tot ... 0.0 Bohr magnetons per cell
N(E_F) ... 2.057 states/eV/atom
ΔE to the lowest computed polymorph ... 1083.9 meV per atom
ΔE_f ... 14.48 eV per formula unit

Lattice parameters (Å, degrees): 4.756 4.756 4.756 90.00 90.00 90.00
Space group Pm-3m (No. 221)
Unique sites:
1 Ti 0.000 0.000 0.000
2 Cd 0.500 0.500 0.500
3 Re 0.000 0.500 0.500



[2]
Cr4CuSe after structural relaxation. Source: Alexandria, functional GGA-PBE.

Total DFT energy (no corrections) ... -7.100 eV/atom
Uncorrected formation energy ... 0.58 eV per atom
M_tot ... 0.0 Bohr magnetons per cell
N(E_F) ... 1.372 states/eV/atom

Lattice parameters (Å, degrees): 6.807 6.807 6.807 90.00 90.00 90.00
Space group F-43m (No. 216)
Unique sites:
1 Cr 0.121 0.121 0.379
2 Cu 0.250 0.250 0.750
3 Se 0.000 0.000 0.000



[3]
BPt2Br after structural relaxation. Source: Alexandria, functional GGA-PBE.

Total DFT energy (no corrections) ... -3.994 eV/atom
Uncorrected formation energy ... 1.11 eV per atom
M_tot ... 0.0 Bohr magnetons per cell
N(E_F) ... 0.225 states/eV/atom
ΔE to the lowest computed polymorph ... 861.9 meV per atom

Lattice parameters (Å, degrees): 6.223 6.223 6.223 90.00 90.00 90.00
Space group Fm-3m (No. 225)
Unique sites:
1 B 0.000 0.000 0.000
2 Pt 0.250 0.250 0.250
3 Br 0.000 0.000 0.500



[4]
Pm3Nd5Sm3 after structural relaxation. Source: Alexandria, functional GGA-PBE.

Total DFT energy (no corrections) ... -4.447 eV/atom
M_tot ... 0.0 Bohr magnetons per cell
N(E_F) ... 1.623 states/eV/atom
ΔE to the lowest computed polymorph ... 0.0 meV per atom
ΔE_f ... 3.33 eV per formula unit

Lattice parameters (Å, degrees): 11.4326 11.4326 3.4858 90.00 90.00 120.00
Space group P-62m (No. 189)
Unique sites:
1 Pm 0.0000 0.4026 0.0000
2 Nd 0.0000 0.6601 0.5000
3 Nd 0.3333 0.6667 0.5000
4 Sm 0.0000 0.1600 0.5000



[5]
Tc2Ni2Rh after structural relaxation. Source: Alexandria, functional GGA-PBE.

Total DFT energy (no corrections) ... -7.973 eV/atom
M_tot ... 0.0 Bohr magnetons per cell
N(E_F) ... 0.975 states/eV/atom
ΔE to the lowest computed polymorph ... 0.0 meV per atom
ΔE_f ... -0.22 eV per formula unit

Lattice parameters (Å, degrees): 8.299 3.743 8.383 90.00 90.39 90.00
Space group C2/m (No. 12)
Unique sites:
1 Tc 0.053 0.000 0.355
2 Tc 0.150 0.000 0.049
3 Ni 0.045 0.500 0.848
4 Ni 0.145 0.500 0.547
5 Rh 0.246 0.000 0.745



[6]
Re2PtF after structural relaxation. Source: Alexandria, functional GGA-PBE.

Total DFT energy (no corrections) ... -7.665 eV/atom
Uncorrected formation energy ... 0.54 eV per atom
M_tot ... 0.0 Bohr magnetons per cell
N(E_F) ... 1.223 states/eV/atom
ΔE to the lowest computed polymorph ... 201.7 meV per atom

Lattice parameters (Å, degrees): 6.567 6.567 5.275 90.00 90.00 90.00
Space group I-42d (No. 122)
Unique sites:
1 Re 0.198 0.250 0.125
2 Pt 0.000 0.000 0.500
3 F 0.000 0.000 0.000



[7]
Na2InSnH after structural relaxation. Source: Alexandria, functional GGA-PBE.

Total DFT energy (no corrections) ... -2.628 eV/atom
M_tot ... 0.0 Bohr magnetons per cell
N(E_F) ... 0.285 states/eV/atom
ΔE to the lowest computed polymorph ... 0.0 meV per atom

Lattice parameters (Å, degrees): 4.506 4.506 5.212 90.00 90.00 90.00
Space group P4/mmm (No. 123)
Unique sites:
1 Na 0.000 0.500 0.000
2 In 0.000 0.000 0.500
3 Sn 0.500 0.500 0.500
4 H 0.000 0.000 0.000



[8]
Sm2In3Cu after structural relaxation. Source: Alexandria, functional GGA-PBE.

Total DFT energy (no corrections) ... -4.036 eV/atom
M_tot ... 0.0 Bohr magnetons per cell
N(E_F) ... 0.616 states/eV/atom
ΔE to the lowest computed polymorph ... 15.8 meV per atom
ΔE_f ... -2.47 eV per formula unit

Lattice parameters (Å, degrees): 3.730 4.800 8.360 90.00 90.00 90.00
Space group Pmm2 (No. 25)
Unique sites:
1 Sm 0.000 0.000 0.000
2 Sm 0.000 0.500 0.480
3 In 0.500 0.000 0.634
4 In 0.500 0.500 0.169
5 In 0.500 0.500 0.824
6 Cu 0.500 0.000 0.314



[9]
DyEr6In after structural relaxation. Source: Alexandria, functional GGA-PBE.

Total DFT energy (no corrections) ... -4.454 eV/atom
M_tot ... 0.0 Bohr magnetons per cell
N(E_F) ... 1.026 states/eV/atom
ΔE to the lowest computed polymorph ... 0.0 meV per atom
ΔE_f ... -0.91 eV per formula unit

Lattice parameters (Å, degrees): 4.869 4.869 9.894 90.00 90.00 90.00
Space group P4/mmm (No. 123)
Unique sites:
1 Dy 0.000 0.000 0.000
2 Er 0.000 0.500 0.255
3 Er 0.500 0.500 0.000
4 Er 0.500 0.500 0.500
5 In 0.000 0.000 0.500



[10]
Li3AlPd after structural relaxation. Source: Alexandria, functional GGA-PBE.

Total DFT energy (no corrections) ... -3.196 eV/atom
M_tot ... 0.0 Bohr magnetons per cell
N(E_F) ... 0.335 states/eV/atom
ΔE to the lowest computed polymorph ... 0.0 meV per atom
ΔE_f ... -1.30 eV per formula unit

Lattice parameters (Å, degrees): 11.537 11.180 5.549 90.00 97.42 90.00
Space group C2/c (No. 15)
Unique sites:
1 Li 0.105 0.072 0.042
2 Li 0.107 0.421 0.543
3 Li 0.170 0.333 0.049
4 Al 0.165 0.172 0.539
5 Pd 0.000 0.242 0.750
6 Pd 0.000 0.249 0.250



[11]
GeTe2Os after structural relaxation. Source: Alexandria, functional GGA-PBE.

Total DFT energy (no corrections) ... -4.991 eV/atom
Uncorrected formation energy ... 0.54 eV per atom
M_tot ... 0.0 Bohr magnetons per cell
N(E_F) ... 0.429 states/eV/atom

Lattice parameters (Å, degrees): 6.404 6.404 11.672 90.00 90.00 90.00
Space group I-42d (No. 122)
Unique sites:
1 Ge 0.000 0.000 0.000
2 Te 0.210 0.250 0.625
3 Os 0.000 0.000 0.500



[12]
Sr5Br5N2 after structural relaxation. Source: Alexandria, functional GGA-PBE.

Total DFT energy (no corrections) ... -4.252 eV/atom
Uncorrected formation energy ... -1.47 eV per atom
M_tot ... 2.0 Bohr magnetons per cell
N(E_F) ... 0.056 states/eV/atom

Lattice parameters (Å, degrees): 14.403 4.200 11.749 90.00 103.12 90.00
Space group C2/m (No. 12)
Unique sites:
1 Sr 0.000 0.000 0.000
2 Sr 0.101 0.000 0.354
3 Sr 0.133 0.500 0.801
4 Br 0.000 0.500 0.500
5 Br 0.163 0.500 0.073
6 Br 0.234 0.000 0.628
7 N 0.036 0.000 0.805